VASP calculation (GGA-PBE) on Pm3Pr4Tm2 after structural relaxation.

Values from the calculation:
E_form: 0.104 eV/atom
Symmetry: C2/m, No. 12
Final energy: -4.5977 eV/atom
Energy above the lowest structure with this stoichiometry: 32 meV per atom
N(E_F): 16.4 states/eV/f.u.

Unit cell a=6.027 b=10.300 c=13.084 alpha=151.40 beta=90.00 gamma=107.01
Fractional coordinates of all 9 atoms:
Pm 0.436 0.871 0.541
Pm 0.000 0.000 0.000
Pm 0.564 0.129 0.459
Pr 0.334 0.668 0.673
Pr 0.666 0.332 0.327
Pr 0.124 0.247 0.902
Pr 0.876 0.753 0.098
Tm 0.218 0.436 0.771
Tm 0.782 0.564 0.229